# 1
{
  "formula": "RbSbAs2O8",
  "functional": "PBE",
  "state": "relaxed",
  "lattice": [[2.522, 1.456, 9.508], [-2.522, 1.456, 9.508], [0.000, -2.913, 9.508]],
  "species": ["Rb", "Sb", "As", "As", "O", "O", "O", "O", "O", "O", "O", "O"],
  "fractional_positions": [[0.000, 0.000, 0.000], [0.500, 0.500, 0.500], [0.234, 0.234, 0.234], [0.766, 0.766, 0.766], [0.131, 0.491, 0.741], [0.259, 0.509, 0.869], [0.293, 0.293, 0.293], [0.491, 0.741, 0.131], [0.509, 0.869, 0.259], [0.707, 0.707, 0.707], [0.741, 0.131, 0.491], [0.869, 0.259, 0.509]],
  "raw_formation_energy_mev_per_atom": -1291.4,
  "crystal_system": "trigonal",
  "e_tot_ev_per_cell": -69.55
}

=====

# 2
{
  "formula": "Rb2SbAs2O6",
  "functional": "PBE",
  "state": "relaxed",
  "lattice": [[5.194, -2.992, 0.000], [5.194, 2.992, 0.000], [-4.304, 0.000, 7.024]],
  "species": ["Rb", "Rb", "Sb", "As", "As", "O", "O", "O", "O", "O", "O"],
  "fractional_positions": [[0.224, 0.224, 0.254], [0.776, 0.776, 0.746], [0.000, 0.000, 0.500], [0.454, 0.454, 0.777], [0.546, 0.546, 0.223], [0.245, 0.733, 0.299], [0.253, 0.253, 0.643], [0.267, 0.755, 0.701], [0.733, 0.245, 0.299], [0.747, 0.747, 0.357], [0.755, 0.267, 0.701]],
  "raw_formation_energy_mev_per_atom": -1341.5,
  "crystal_system": "monoclinic",
  "e_tot_ev_per_cell": -59.86
}

=====

# 3
{
  "formula": "RbSbAsO6",
  "functional": "PBE",
  "state": "relaxed",
  "lattice": [[5.174, 0.000, 0.000], [-2.587, 4.481, 0.000], [0.000, 0.000, 6.485]],
  "species": ["Rb", "Sb", "As", "O", "O", "O", "O", "O", "O"],
  "fractional_positions": [[0.000, 0.000, 0.000], [0.333, 0.667, 0.500], [0.667, 0.333, 0.500], [0.391, 0.022, 0.667], [0.391, 0.369, 0.333], [0.631, 0.022, 0.333], [0.631, 0.609, 0.667], [0.978, 0.369, 0.667], [0.978, 0.609, 0.333]],
  "raw_formation_energy_mev_per_atom": -1244.8,
  "crystal_system": "trigonal",
  "e_tot_ev_per_cell": -50.69
}

=====

# 4
{
  "formula": "Rb2SbAsO6",
  "functional": "PBE",
  "state": "relaxed",
  "lattice": [[0.000, 4.008, 4.008], [4.008, 0.000, 4.008], [4.008, 4.008, 0.000]],
  "species": ["Rb", "Rb", "Sb", "As", "O", "O", "O", "O", "O", "O"],
  "fractional_positions": [[0.250, 0.250, 0.250], [0.750, 0.750, 0.750], [0.000, 0.000, 0.000], [0.500, 0.500, 0.500], [0.258, 0.258, 0.742], [0.258, 0.742, 0.258], [0.258, 0.742, 0.742], [0.742, 0.258, 0.258], [0.742, 0.258, 0.742], [0.742, 0.742, 0.258]],
  "raw_formation_energy_mev_per_atom": -1166.5,
  "crystal_system": "cubic",
  "e_tot_ev_per_cell": -52.12
}

=====

# 5
{
  "formula": "Rb2Sb2AsO6",
  "functional": "PBE",
  "state": "relaxed",
  "lattice": [[4.624, -3.003, 0.000], [4.624, 3.003, 0.000], [-2.253, 0.000, 7.016]],
  "species": ["Rb", "Rb", "Sb", "Sb", "As", "O", "O", "O", "O", "O", "O"],
  "fractional_positions": [[0.195, 0.195, 0.115], [0.805, 0.805, 0.885], [0.398, 0.398, 0.726], [0.602, 0.602, 0.274], [0.000, 0.000, 0.500], [0.211, 0.725, 0.295], [0.218, 0.218, 0.500], [0.275, 0.789, 0.705], [0.725, 0.211, 0.295], [0.782, 0.782, 0.500], [0.789, 0.275, 0.705]],
  "raw_formation_energy_mev_per_atom": -1188.0,
  "crystal_system": "monoclinic",
  "e_tot_ev_per_cell": -57.65
}

=====

# 6
{
  "formula": "RbSc3As4O12",
  "functional": "PBE",
  "state": "relaxed",
  "lattice": [[5.526, 3.190, 2.840], [-5.526, 3.190, 2.840], [0.000, -6.381, 2.840]],
  "species": ["Rb", "Sc", "Sc", "Sc", "As", "As", "As", "As", "O", "O", "O", "O", "O", "O", "O", "O", "O", "O", "O", "O"],
  "fractional_positions": [[0.000, 0.000, 0.000], [0.000, 0.573, 0.427], [0.427, 0.000, 0.573], [0.573, 0.427, 0.000], [0.086, 0.500, 0.914], [0.500, 0.500, 0.500], [0.500, 0.914, 0.086], [0.914, 0.086, 0.500], [0.023, 0.275, 0.390], [0.073, 0.927, 0.500], [0.275, 0.390, 0.023], [0.322, 0.678, 0.500], [0.390, 0.023, 0.275], [0.500, 0.073, 0.927], [0.500, 0.322, 0.678], [0.610, 0.725, 0.977], [0.678, 0.500, 0.322], [0.725, 0.977, 0.610], [0.927, 0.500, 0.073], [0.977, 0.610, 0.725]],
  "raw_formation_energy_mev_per_atom": -1815.1,
  "crystal_system": "trigonal",
  "e_tot_ev_per_cell": -134.36
}

=====

no.,DOS(E_F) (states/eV/f.u.),magnetic moment (μB per atom)
1,0.000,0.000
2,2.436,0.000
3,8.220,0.118
4,4.190,0.000
5,4.953,0.000
6,5.497,0.000